A plane-wave DFT calculation with GGA-PBE was carried out for a relaxed structure of SnHgH.

The structure in POSCAR format:
```
SnHgH
1.0
-3.262 -0.595 0.098
-1.473 -0.709 2.885
-1.537 15.308 -0.443
Sn H Hg
2 2 2
Direct
0.674 0.079 0.911
0.326 0.921 0.089
0.989 0.022 0.525
0.011 0.978 0.475
0.309 0.131 0.297
0.691 0.869 0.703
```

Output
* uncorrected energy: -2.512 eV/atom
* energy above the lowest structure with this stoichiometry: 0 meV/atom